# 1
The following is a PBE calculation of an optimized crystal structure of In2HgRu, from Alexandria via LeMat-Bulk.

Geometry as extended XYZ:
```
4
Lattice="3.2703 0.0064 0.0000 -0.0088 3.2703 0.0000 0.0000 0.0000 8.1035" Properties=species:S:1:pos:R:3 pbc="T T T"
Hg 1.6308 1.6384 5.7130
In 0.0000 0.0000 8.0669
In 1.6308 1.6384 2.4975
Ru 0.0000 0.0000 3.9814
```

***

# 2
The following is a PBE calculation of an optimized crystal structure of In2HgRu, from Alexandria via LeMat-Bulk.

Geometry as extended XYZ:
```
8
Lattice="9.9762 0.0000 0.0000 0.0000 9.9762 0.0000 4.9881 4.9881 2.7045" Properties=species:S:1:pos:R:3 pbc="T T T"
Ru 4.9881 4.9881 0.0000
Ru 4.9881 9.9762 1.3523
Hg 0.0000 0.0000 0.0000
Hg 9.9762 4.9881 1.3523
In 4.9867 2.4940 0.6761
In 4.9895 7.4821 0.6761
In 7.4821 9.9776 2.0284
In 12.4702 9.9748 2.0284
```

***

# 3
The following is a PBE calculation of an optimized crystal structure of InHgRu, from Alexandria via LeMat-Bulk.

Geometry as extended XYZ:
```
3
Lattice="-0.7613 -3.3242 -2.9704 2.7404 -3.5956 -0.1212 -1.4828 -4.0229 1.4392" Properties=species:S:1:pos:R:3 pbc="T T T"
Hg 0.0000 0.0000 0.0000
In 0.2482 -5.4714 -0.8262
Ru 0.3723 -8.2071 -1.2393
```

- energy above the most stable polymorph in this dataset (meV/atom) = 66

***

# 4
The following is a PBE calculation of an optimized crystal structure of InHgRu, from Alexandria via LeMat-Bulk.

Geometry as extended XYZ:
```
3
Lattice="5.8271 0.0057 -0.0062 4.8940 3.1640 -0.0010 0.9331 0.2728 3.1465" Properties=species:S:1:pos:R:3 pbc="T T T"
Hg 1.0675 0.3126 3.1033
In 3.9679 1.1710 2.1687
Ru 7.5519 2.2317 1.0139
```

- energy above the most stable polymorph in this dataset (meV/atom) = 0

***

# 5
The following is a PBE calculation of an optimized crystal structure of InHg2Ru, from Alexandria via LeMat-Bulk.

Geometry as extended XYZ:
```
4
Lattice="4.9386 0.0225 0.0000 -1.6325 4.6610 0.0000 0.0000 0.0000 3.4742" Properties=species:S:1:pos:R:3 pbc="T T T"
Hg 0.0000 0.0000 0.0000
Hg 1.6531 2.3418 0.0000
In 2.4693 0.0113 1.7371
Ru -0.8162 2.3305 1.7371
```

***

# 6
The following is a PBE calculation of an optimized crystal structure of InHg3Ru, from Alexandria via LeMat-Bulk.

Geometry as extended XYZ:
```
5
Lattice="5.2688 0.0000 0.0000 0.0000 5.2688 0.0000 0.0000 0.0000 5.2688" Properties=species:S:1:pos:R:3 pbc="T T T"
Ru 0.0000 0.0000 0.0000
Hg 0.0000 2.6344 0.0000
Hg 0.0000 0.0000 2.6344
Hg 2.6344 0.0000 0.0000
In 2.6344 2.6344 2.6344
```

- energy above the most stable polymorph in this dataset (meV/atom) = 0

***

# 7
The following is a PBE calculation of an optimized crystal structure of InHgRu, from Alexandria via LeMat-Bulk.

Geometry as extended XYZ:
```
3
Lattice="4.5360 0.0000 0.0000 -2.2680 3.9283 0.0000 0.0000 0.0000 3.2210" Properties=species:S:1:pos:R:3 pbc="T T T"
Hg 0.0000 0.0000 0.0487
In 2.2680 1.3094 1.1616
Ru 0.0000 2.6189 2.0107
```

- energy above the most stable polymorph in this dataset (meV/atom) = 116

***

# 8
The following is a PBE calculation of an optimized crystal structure of InHg2Ru, from Alexandria via LeMat-Bulk.

Geometry as extended XYZ:
```
4
Lattice="-0.8310 -2.4623 -4.0410 3.6754 -1.3951 -2.7619 1.1763 -4.6508 -0.2642" Properties=species:S:1:pos:R:3 pbc="T T T"
Hg 0.0000 0.0000 0.0000
Hg 3.0156 -6.3812 -5.3004
In 2.0104 -4.2541 -3.5336
Ru 1.0052 -2.1271 -1.7668
```

***

# 9
The following is a PBE calculation of an optimized crystal structure of InHg2Ru, from Alexandria via LeMat-Bulk.

Geometry as extended XYZ:
```
4
Lattice="5.2641 0.0000 0.0000 0.0000 3.0895 -0.0049 0.0000 -0.1138 5.0287" Properties=species:S:1:pos:R:3 pbc="T T T"
Hg 0.0000 2.9693 4.9847
Hg 0.0000 1.4942 2.5510
In 2.6321 0.7439 1.2560
Ru 2.6321 2.2317 3.7679
```

***

# 10
The following is a PBE calculation of an optimized crystal structure of InHg2Ru, from Alexandria via LeMat-Bulk.

Geometry as extended XYZ:
```
4
Lattice="4.1205 0.0000 0.0000 0.0000 3.4246 0.0080 0.0000 1.7197 6.0358" Properties=species:S:1:pos:R:3 pbc="T T T"
Hg 0.0000 2.7790 0.0352
Hg 2.0602 1.0660 1.4028
In 0.0000 2.7930 3.4552
Ru 2.0602 4.5032 4.1806
```

***

# 11
The following is a PBE calculation of an optimized crystal structure of In2HgRu, from Alexandria via LeMat-Bulk.

Geometry as extended XYZ:
```
4
Lattice="-0.2381 7.8962 -5.5646 -2.5359 8.6680 -3.4361 0.5617 9.2473 -2.7467" Properties=species:S:1:pos:R:3 pbc="T T T"
Hg -1.6794 19.5948 -8.9180
In -0.0015 0.0173 -0.0079
In -0.5273 6.1518 -2.7998
Ru -1.1102 12.9535 -5.8954
```

***

# 12
The following is a PBE calculation of an optimized crystal structure of InHg2Ru, from Alexandria via LeMat-Bulk.

Geometry as extended XYZ:
```
8
Lattice="4.0667 0.0000 0.0000 0.0000 4.0667 0.0000 2.0333 2.0333 10.3774" Properties=species:S:1:pos:R:3 pbc="T T T"
Ru 2.0333 2.0333 0.0000
Ru 2.0333 4.0667 5.1887
Hg 2.9918 1.0167 2.5944
Hg 1.0749 3.0500 2.5944
Hg 3.0500 3.1082 7.7831
Hg 5.0833 5.0252 7.7831
In 0.0000 0.0000 0.0000
In 4.0667 2.0333 5.1887
```

***

no.,VASP energy (eV/atom)
1,-3.50
2,-3.48
3,-3.72
4,-3.78
5,-2.74
6,-2.13
7,-3.67
8,-2.65
9,-2.74
10,-2.85
11,-3.46
12,-2.68